VASP calculation (PBE-GGA) on an optimized crystal structure of BaCd2Ni2.

abc: 4.433 4.433 11.372
angles: 90.00 90.00 90.00
Space group I4/mmm (No. 139)
Unique sites:
Ba (0.000, 0.000, 0.000) x2
Cd (0.000, 0.500, 0.250) x4
Ni (0.000, 0.000, 0.396) x4

Computed properties:
Relative energy among the computed polymorphs in eV/atom: 0.000
Density in g/cm3: 7.13